DFT (GGA-PBE) results for crystalline Zn2SO5 at its relaxed geometry.

Geometry as POSCAR:
```
Zn2SO5
1.0
1.9188 -4.9421 0.0000
1.9188 4.9421 0.0000
0.0000 0.0000 9.1874
Zn S O
4 2 10
Cartesian
1.9188 3.5244 5.3360 Zn
1.9188 3.5244 8.4451 Zn
1.9188 -3.5244 0.7423 Zn
1.9188 -3.5244 3.8514 Zn
1.9188 3.2299 2.2969 S
1.9188 -3.2299 6.8906 S
1.9188 4.3300 1.1480 O
1.9188 4.3300 3.4457 O
1.9188 2.0828 6.8906 O
1.9188 2.0186 1.0929 O
1.9188 2.0186 3.5008 O
1.9188 -2.0186 5.6866 O
1.9188 -2.0186 8.0945 O
1.9188 -2.0828 2.2969 O
1.9188 -4.3300 5.7417 O
1.9188 -4.3300 8.0394 O
```

Computed properties:
VASP energy   -4.864 eV per atom
Calculated volume   10.9 Å³ per atom
Symmetry   No. 63

=====

DFT (GGA-PBE) results for crystalline ZnS3O at its relaxed geometry.

Geometry as POSCAR:
```
ZnS3O
1.0
4.5674 0.0000 0.0000
0.0000 4.5674 0.0000
0.0000 0.0000 4.5674
Zn S O
1 3 1
Cartesian
0.0000 0.0000 0.0000 Zn
0.0000 0.0000 2.2837 S
0.0000 2.2837 0.0000 S
2.2837 0.0000 0.0000 S
2.2837 2.2837 2.2837 O
```

Computed properties:
Polymorph energy (0 for the lowest one)   12.893 kcal/mol of atoms
VASP energy   -2.411 eV per atom
Calculated volume   19.1 Å³ per atom
Symmetry   No. 221

=====

DFT (GGA-PBE) results for crystalline Zr2S3O at its relaxed geometry.

Geometry as POSCAR:
```
Zr2S3O
1.0
7.2476 -1.8558 0.0000
7.2476 1.8558 0.0000
-4.5101 0.0000 8.5948
Zr S O
4 6 2
Cartesian
-0.5807 0.0000 3.7850 Zr
4.2621 0.0000 1.6202 Zr
5.7230 0.0000 6.9745 Zr
10.5659 0.0000 4.8097 Zr
-2.2569 0.0000 8.5943 S
2.2484 0.0000 3.2662 S
3.1242 0.0000 6.5346 S
6.8610 0.0000 2.0602 S
7.7368 0.0000 5.3286 S
12.2420 0.0000 0.0004 S
-1.8801 0.0000 5.5454 O
11.8652 0.0000 3.0494 O
```

Computed properties:
VASP energy   -7.655 eV per atom
Calculated volume   19.3 Å³ per atom
Symmetry   No. 12

=====

DFT (GGA-PBE) results for crystalline Zr2SO at its relaxed geometry.

Geometry as POSCAR:
```
Zr2SO
1.0
1.8148 1.0478 6.9334
-1.8148 1.0478 6.9334
0.0000 -2.0956 6.9334
Zr S O
2 1 1
Cartesian
0.0000 0.0000 1.9765 Zr
0.0000 0.0000 18.8237 Zr
0.0000 0.0000 10.4001 S
0.0000 0.0000 0.0000 O
```

Computed properties:
Polymorph energy (0 for the lowest one)   0.000 kcal/mol of atoms
VASP energy   -8.103 eV per atom
Calculated volume   19.8 Å³ per atom
Symmetry   No. 166

=====

Copy entry 4 word for word.
DFT (GGA-PBE) results for crystalline Zr2SO at its relaxed geometry.

Geometry as POSCAR:
```
Zr2SO
1.0
1.8148 1.0478 6.9334
-1.8148 1.0478 6.9334
0.0000 -2.0956 6.9334
Zr S O
2 1 1
Cartesian
0.0000 0.0000 1.9765 Zr
0.0000 0.0000 18.8237 Zr
0.0000 0.0000 10.4001 S
0.0000 0.0000 0.0000 O
```

Computed properties:
Polymorph energy (0 for the lowest one)   0.000 kcal/mol of atoms
VASP energy   -8.103 eV per atom
Calculated volume   19.8 Å³ per atom
Symmetry   No. 166